(1)
VASP calculation (GGA-PBE) on a relaxed structure of ZrZnIn. Values from VASP.

Summary:
Crystal system ... orthorhombic

Quantum ESPRESSO input file:
```
&SYSTEM
  ibrav = 0, nat = 3, ntyp = 3
/
ATOMIC_SPECIES
Zr 91.22 Zr.upf
Zn 65.41 Zn.upf
In 114.82 In.upf
ATOMIC_POSITIONS angstrom
Zr 0.000 0.000 0.000
Zn 1.824 0.000 2.192
In 0.000 2.163 2.192
CELL_PARAMETERS angstrom
3.647 0.000 0.000
0.000 4.327 0.000
0.000 0.000 4.384
```

(2)
VASP calculation (GGA-PBE) on a relaxed structure of Zr3ZnIn. Values from VASP.

Summary:
Crystal system ... cubic
Energy relative to the lowest polymorph listed for this composition ... 534 meV per atom

Quantum ESPRESSO input file:
```
&SYSTEM
  ibrav = 0, nat = 5, ntyp = 3
/
ATOMIC_SPECIES
Zr 91.22 Zr.upf
Zn 65.41 Zn.upf
In 114.82 In.upf
ATOMIC_POSITIONS angstrom
Zr 0.000 0.000 2.492
Zr 0.000 2.492 0.000
Zr 2.492 0.000 0.000
Zn 0.000 0.000 0.000
In 2.492 2.492 2.492
CELL_PARAMETERS angstrom
4.984 0.000 0.000
0.000 4.984 0.000
0.000 0.000 4.984
```

(3)
VASP calculation (GGA-PBE) on a relaxed structure of Zr2Zn16In. Values from VASP.

Summary:
Crystal system ... trigonal

Quantum ESPRESSO input file:
```
&SYSTEM
  ibrav = 0, nat = 19, ntyp = 3
/
ATOMIC_SPECIES
Zr 91.22 Zr.upf
Zn 65.41 Zn.upf
In 114.82 In.upf
ATOMIC_POSITIONS angstrom
Zr 0.000 0.000 0.000
Zr 0.000 0.000 4.141
Zn 0.000 -2.409 2.197
Zn -2.086 1.204 2.197
Zn -2.163 -1.249 6.338
Zn 0.000 -2.675 6.179
Zn -2.316 1.337 6.179
Zn -1.409 -2.423 8.500
Zn -2.803 -0.009 8.500
Zn 2.086 1.204 2.197
Zn 0.000 0.000 7.104
Zn 2.163 -1.249 6.338
Zn 0.000 2.498 6.338
Zn 1.409 -2.423 8.500
Zn -1.394 2.432 8.500
Zn 2.316 1.337 6.179
Zn 2.803 -0.009 8.500
Zn 1.394 2.432 8.500
In 0.000 0.000 9.820
CELL_PARAMETERS angstrom
4.482 2.588 4.320
-4.482 2.588 4.320
0.000 -5.175 4.320
```

(4)
VASP calculation (GGA-PBE) on a relaxed structure of Zr4ZnIn. Values from VASP.

Summary:
Crystal system ... tetragonal
Energy relative to the lowest polymorph listed for this composition ... 49 meV per atom

Quantum ESPRESSO input file:
```
&SYSTEM
  ibrav = 0, nat = 12, ntyp = 3
/
ATOMIC_SPECIES
Zr 91.22 Zr.upf
Zn 65.41 Zn.upf
In 114.82 In.upf
ATOMIC_POSITIONS angstrom
Zr 0.972 2.351 0.000
Zr 0.972 4.547 2.748
Zr 2.351 0.972 2.748
Zr 2.351 5.927 0.000
Zr 4.547 0.972 0.000
Zr 4.547 5.927 2.748
Zr 5.927 2.351 2.748
Zr 5.927 4.547 0.000
Zn 0.000 0.000 1.374
Zn 0.000 0.000 4.122
In 3.449 3.449 1.374
In 3.449 3.449 4.122
CELL_PARAMETERS angstrom
6.898 0.000 0.000
0.000 6.898 0.000
0.000 0.000 5.496
```

(5)
VASP calculation (GGA-PBE) on a relaxed structure of Zr4In. Values from VASP.

Summary:
Crystal system ... tetragonal
Energy relative to the lowest polymorph listed for this composition ... 457 meV per atom

Quantum ESPRESSO input file:
```
&SYSTEM
  ibrav = 0, nat = 5, ntyp = 2
/
ATOMIC_SPECIES
Zr 91.22 Zr.upf
In 114.82 In.upf
ATOMIC_POSITIONS angstrom
Zr 0.000 0.000 1.281
Zr 2.062 0.000 3.604
Zr 0.000 2.062 3.604
Zr 0.000 0.000 13.134
In 0.000 0.000 7.207
CELL_PARAMETERS angstrom
-2.062 2.062 7.207
2.062 -2.062 7.207
2.062 2.062 -7.207
```

(6)
VASP calculation (GGA-PBE) on a relaxed structure of Zr3In2. Values from VASP.

Summary:
Crystal system ... trigonal

Quantum ESPRESSO input file:
```
&SYSTEM
  ibrav = 0, nat = 5, ntyp = 2
/
ATOMIC_SPECIES
Zr 91.22 Zr.upf
In 114.82 In.upf
ATOMIC_POSITIONS angstrom
Zr 0.000 0.000 0.000
Zr 0.000 2.815 2.059
Zr 2.438 1.407 3.986
In 0.000 2.815 4.967
In 2.438 1.407 1.078
CELL_PARAMETERS angstrom
4.875 0.000 0.000
-2.438 4.222 0.000
0.000 0.000 6.045
```

(7)
VASP calculation (GGA-PBE) on a relaxed structure of Zr7In. Values from VASP.

Summary:
Crystal system ... cubic

Quantum ESPRESSO input file:
```
&SYSTEM
  ibrav = 0, nat = 8, ntyp = 2
/
ATOMIC_SPECIES
Zr 91.22 Zr.upf
In 114.82 In.upf
ATOMIC_POSITIONS angstrom
Zr 0.000 0.000 0.000
Zr 2.256 2.256 0.000
Zr 2.256 0.000 2.256
Zr 4.512 2.256 2.256
Zr 0.000 2.256 2.256
Zr 2.256 4.512 2.256
Zr 2.256 2.256 4.512
In 4.512 4.512 4.512
CELL_PARAMETERS angstrom
0.000 4.512 4.512
4.512 0.000 4.512
4.512 4.512 0.000
```

(8)
VASP calculation (GGA-PBE) on a relaxed structure of Zr2In. Values from VASP.

Summary:
Crystal system ... tetragonal

Quantum ESPRESSO input file:
```
&SYSTEM
  ibrav = 0, nat = 6, ntyp = 2
/
ATOMIC_SPECIES
Zr 91.22 Zr.upf
In 114.82 In.upf
ATOMIC_POSITIONS angstrom
Zr 1.904 0.952 1.139
Zr 1.904 0.952 3.934
Zr 0.000 0.952 6.212
Zr 0.000 0.952 9.007
In 1.904 -0.952 7.610
In 0.000 2.856 2.537
CELL_PARAMETERS angstrom
-1.904 1.904 10.146
1.904 -1.904 10.146
1.904 1.904 -10.146
```

One value per record, in order, for formation energy from the elements: 124.8, 326.6, -106.2, -132.7, 364.6, 67.3, -59.0, 249.8 meV/atom.
One value per record, in order, for uncorrected energy: -4.062, -5.605, -2.223, -6.500, -7.022, -6.157, -7.881, -6.362 eV/atom.